(1)
This record from Alexandria describes crystalline CsCdAsF6 at its relaxed geometry. The functional is GGA-PBE.

abc: 5.754 5.864 6.245
angles: 90.40 91.55 115.35
Space group P1 (No. 1)
One atom of each set of equivalent atoms:
Cs1 0.000 0.000 0.000 [1 per cell]
Cd1 0.325 0.679 0.500 [1 per cell]
As1 0.674 0.324 0.501 [1 per cell]
F1 0.028 0.419 0.706 [1 per cell]
F2 0.398 0.353 0.336 [1 per cell]
F3 0.418 0.047 0.692 [1 per cell]
F4 0.570 0.967 0.285 [1 per cell]
F5 0.643 0.581 0.673 [1 per cell]
F6 0.940 0.594 0.318 [1 per cell]

Computed properties:
magnetization = 0.0 Bohr magnetons per cell
crystal system = triclinic
calculated total energy = -38.316 eV for the cell shown
uncorrected formation energy = -2296.6 meV per atom
density = 3.8 g/cm3

---

(2)
This record from Alexandria describes crystalline Y4TeOs at its relaxed geometry. The functional is GGA-PBE.

abc: 8.548 8.548 8.548
angles: 90.00 90.00 90.00
Space group F-43m (No. 216)
One atom of each set of equivalent atoms:
Y1 0.123 0.123 0.123 [16 per cell]
Te1 0.000 0.000 0.500 [4 per cell]
Os1 0.250 0.250 0.750 [4 per cell]

Computed properties:
magnetization = 4.8 Bohr magnetons per cell
ΔE to the lowest computed polymorph = 1263 meV/atom
crystal system = cubic
calculated total energy = -145.321 eV for the cell shown
uncorrected formation energy = 649.6 meV per atom
density = 7.2 g/cm3

---

(3)
This record from Alexandria describes crystalline CrOs3 at its relaxed geometry. The functional is GGA-PBE.

abc: 2.731 4.294 4.692
angles: 90.00 90.00 90.00
Space group Pmm2 (No. 25)
One atom of each set of equivalent atoms:
Cr1 0.000 0.000 0.000 [1 per cell]
Os1 0.000 0.500 0.328 [1 per cell]
Os2 0.500 0.000 0.501 [1 per cell]
Os3 0.500 0.500 0.842 [1 per cell]

Computed properties:
magnetization = 0.0 Bohr magnetons per cell
crystal system = orthorhombic
calculated total energy = -43.339 eV for the cell shown
energy relative to the elements = -7 meV per atom
density = 18.8 g/cm3

---

(4)
This record from Alexandria describes crystalline ZrTi2VC4 at its relaxed geometry. The functional is GGA-PBE.

abc: 3.132 10.870 10.732
angles: 90.00 90.00 90.00
Space group Cmcm (No. 63)
One atom of each set of equivalent atoms:
Zr1 0.000 0.139 0.250 [4 per cell]
Ti1 0.000 0.367 0.033 [8 per cell]
V1 0.000 0.127 0.750 [4 per cell]
C1 0.000 0.000 0.000 [4 per cell]
C2 0.000 0.251 0.619 [8 per cell]
C3 0.000 0.478 0.250 [4 per cell]

Computed properties:
magnetization = 0.0 Bohr magnetons per cell
crystal system = orthorhombic
calculated total energy = -294.222 eV for the cell shown
energy relative to the elements = -400 meV per atom
density = 5.2 g/cm3